1.
The following is a PBE calculation of crystalline Cs2NdPd3F12 at its relaxed geometry, from the Alexandria database.

```
data_Cs2NdPd3F12
_chemical_formula_sum 'Cs2 Nd1 Pd3 F12'
_symmetry_space_group_name_H-M 'P 1'
_symmetry_Int_Tables_number 1
_symmetry_space_group_name_Hall 'P 1'
_cell_length_a 7.595
_cell_length_b 7.595
_cell_length_c 7.595
_cell_angle_alpha 65.06
_cell_angle_beta 65.06
_cell_angle_gamma 65.06
loop_
_atom_site_label
_atom_site_fract_x
_atom_site_fract_y
_atom_site_fract_z
F1 0.713 0.713 0.081
F2 0.356 0.896 0.896
F3 0.896 0.356 0.896
Nd1 0.000 0.000 0.000
F4 0.287 0.919 0.287
Cs1 0.381 0.381 0.381
Pd1 0.000 0.000 0.500
Cs2 0.619 0.619 0.619
Pd2 0.000 0.500 0.000
F5 0.713 0.081 0.713
F6 0.896 0.896 0.356
F7 0.644 0.104 0.104
F8 0.919 0.287 0.287
F9 0.104 0.104 0.644
F10 0.081 0.713 0.713
F11 0.287 0.287 0.919
F12 0.104 0.644 0.104
Pd3 0.500 0.000 0.000
```



2.
The following is a PBE calculation of crystalline CsSrNdF6 at its relaxed geometry, from the Alexandria database.

```
data_CsSrNdF6
_chemical_formula_sum 'Cs2 Sr2 Nd2 F12'
_symmetry_space_group_name_H-M 'P 1'
_symmetry_Int_Tables_number 1
_symmetry_space_group_name_Hall 'P 1'
_cell_length_a 8.803
_cell_length_b 8.574
_cell_length_c 8.816
_cell_angle_alpha 119.10
_cell_angle_beta 119.95
_cell_angle_gamma 90.00
loop_
_atom_site_label
_atom_site_fract_x
_atom_site_fract_y
_atom_site_fract_z
F1 0.826 0.689 0.268
F2 0.581 0.331 0.162
Cs1 0.806 0.556 0.612
F3 0.558 0.921 0.732
F4 0.193 0.943 0.387
Sr1 0.500 0.500 0.000
F5 0.174 0.921 0.732
F6 0.174 0.311 0.732
Cs2 0.194 0.444 0.388
F7 0.826 0.079 0.268
F8 0.442 0.079 0.268
Sr2 0.500 0.000 0.000
Nd1 0.000 0.000 0.500
F9 0.419 0.669 0.838
Nd2 0.500 0.000 0.500
F10 0.807 0.057 0.613
F11 0.442 0.689 0.268
F12 0.558 0.311 0.732
```



3.
The following is a PBE calculation of crystalline Cs2NdTlF6 at its relaxed geometry, from the Alexandria database.

```
data_Cs2NdTlF6
_chemical_formula_sum 'Cs2 Nd1 Tl1 F6'
_symmetry_space_group_name_H-M 'P 1'
_symmetry_Int_Tables_number 1
_symmetry_space_group_name_Hall 'P 1'
_cell_length_a 7.057
_cell_length_b 7.056
_cell_length_c 7.058
_cell_angle_alpha 60.01
_cell_angle_beta 60.00
_cell_angle_gamma 90.01
loop_
_atom_site_label
_atom_site_fract_x
_atom_site_fract_y
_atom_site_fract_z
F1 0.271 0.729 0.000
F2 0.729 0.271 0.000
Cs1 0.250 0.750 0.500
F3 0.271 0.271 0.458
Nd1 0.500 0.500 0.000
F4 0.271 0.271 0.000
F5 0.729 0.729 0.542
F6 0.729 0.729 0.000
Cs2 0.750 0.250 0.500
Tl1 0.000 0.000 0.000
```



4.
The following is a PBE calculation of crystalline CsNdZn2F8 at its relaxed geometry, from the Alexandria database.

```
data_CsNdZn2F8
_chemical_formula_sum 'Cs1 Nd1 Zn2 F8'
_symmetry_space_group_name_H-M 'P 1'
_symmetry_Int_Tables_number 1
_symmetry_space_group_name_Hall 'P 1'
_cell_length_a 5.529
_cell_length_b 5.529
_cell_length_c 9.280
_cell_angle_alpha 72.67
_cell_angle_beta 72.67
_cell_angle_gamma 60.00
loop_
_atom_site_label
_atom_site_fract_x
_atom_site_fract_y
_atom_site_fract_z
F1 0.470 0.108 0.664
Cs1 0.000 0.000 0.000
F2 0.758 0.470 0.664
F3 0.242 0.892 0.336
F4 0.325 0.325 0.026
F5 0.108 0.758 0.664
F6 0.892 0.530 0.336
F7 0.530 0.242 0.336
Zn1 0.746 0.746 0.761
Nd1 0.500 0.500 0.500
F8 0.675 0.675 0.974
Zn2 0.254 0.254 0.239
```



5.
The following is a PBE calculation of crystalline CsNdZnF6 at its relaxed geometry, from the Alexandria database.

```
data_CsNdZnF6
_chemical_formula_sum 'Cs2 Nd2 Zn2 F12'
_symmetry_space_group_name_H-M 'P 1'
_symmetry_Int_Tables_number 1
_symmetry_space_group_name_Hall 'P 1'
_cell_length_a 8.001
_cell_length_b 7.636
_cell_length_c 7.616
_cell_angle_alpha 120.09
_cell_angle_beta 121.69
_cell_angle_gamma 90.00
loop_
_atom_site_label
_atom_site_fract_x
_atom_site_fract_y
_atom_site_fract_z
Cs1 0.159 0.409 0.319
F1 0.447 0.145 0.268
F2 0.585 0.835 0.170
F3 0.447 0.623 0.268
Zn1 0.500 0.500 0.000
F4 0.821 0.623 0.268
F5 0.821 0.145 0.268
F6 0.179 0.855 0.732
F7 0.862 0.112 0.725
Cs2 0.841 0.591 0.681
F8 0.553 0.855 0.732
Zn2 0.500 0.000 0.000
F9 0.138 0.888 0.275
Nd1 0.000 0.000 0.500
F10 0.179 0.377 0.732
F11 0.415 0.165 0.830
Nd2 0.500 0.000 0.500
F12 0.553 0.377 0.732
```



Calculated formation energy (no corrections) (eV/atom), listed in the same order as above: -2.182; -3.668; -3.066; -2.908; -3.185
Calculated M_tot (μB per formula unit), listed in the same order as above: 0.96; 0.12; 0.00; 0.08; 0.00
Calculated calculated density (g/cm3), listed in the same order as above: 4.62; 3.33; 4.87; 4.03; 4.74